## Fe23B6 (PBE-GGA)

Data for crystalline Fe23B6 at its relaxed geometry.

Lattice parameters (Å, degrees): 7.493 7.493 7.493 60.00 60.00 60.00
Element x y z (fractional)
Fe 0.000 0.000 0.000
Fe 0.000 0.000 0.342
Fe 0.000 0.000 0.658
Fe 0.000 0.342 0.000
Fe 0.000 0.342 0.658
Fe 0.000 0.658 0.000
Fe 0.000 0.658 0.342
Fe 0.145 0.618 0.618
Fe 0.250 0.250 0.250
Fe 0.342 0.000 0.000
Fe 0.342 0.000 0.658
Fe 0.342 0.658 0.000
Fe 0.382 0.382 0.382
Fe 0.382 0.382 0.855
Fe 0.382 0.855 0.382
Fe 0.618 0.145 0.618
Fe 0.618 0.618 0.145
Fe 0.618 0.618 0.618
Fe 0.658 0.000 0.000
Fe 0.658 0.000 0.342
Fe 0.658 0.342 0.000
Fe 0.750 0.750 0.750
Fe 0.855 0.382 0.382
B 0.276 0.276 0.724
B 0.276 0.724 0.276
B 0.276 0.724 0.724
B 0.724 0.276 0.276
B 0.724 0.276 0.724
B 0.724 0.724 0.276

Computed properties:
DOS at the Fermi energy   22.085 states/eV per cell
Size of the total moment   49.25 μB per formula unit
Energy of formation   -0.17 eV per atom

=====

## MgNiPd2 (PBE-GGA)

Data for crystalline MgNiPd2 at its relaxed geometry.

Lattice parameters (Å, degrees): 9.267 9.267 9.267 156.23 156.23 33.86
Element x y z (fractional)
Mg 0.000 0.000 0.000
Mg 0.750 0.250 0.500
Ni 0.250 0.750 0.500
Ni 0.500 0.500 0.000
Pd 0.135 0.625 0.010
Pd 0.375 0.385 0.510
Pd 0.615 0.125 0.990
Pd 0.875 0.865 0.490

Computed properties:
DOS at the Fermi energy   6.838 states/eV per cell
Size of the total moment   0.00 μB per formula unit
Energy of formation   0.02 eV per atom

=====

## Hg2SeBr2 (PBE-GGA)

Data for crystalline Hg2SeBr2 at its relaxed geometry.

Lattice parameters (Å, degrees): 7.896 7.896 5.348 90.00 90.00 90.00
Element x y z (fractional)
Hg 0.224 0.276 0.000
Hg 0.276 0.776 0.000
Hg 0.724 0.224 0.000
Hg 0.776 0.724 0.000
Se 0.000 0.000 0.000
Se 0.500 0.500 0.000
Br 0.169 0.331 0.500
Br 0.331 0.831 0.500
Br 0.669 0.169 0.500
Br 0.831 0.669 0.500

Computed properties:
DOS at the Fermi energy   5.661 states/eV per cell
Size of the total moment   0.26 μB per formula unit
Offset from the most stable computed form   354.0 meV/atom

=====

## TbHo2Cd2 (PBE-GGA)

Data for crystalline TbHo2Cd2 at its relaxed geometry.

Lattice parameters (Å, degrees): 5.175 5.175 6.354 90.00 90.00 120.00
Element x y z (fractional)
Tb 0.000 0.000 0.000
Ho 0.333 0.667 0.650
Ho 0.667 0.333 0.350
Cd 0.333 0.667 0.157
Cd 0.667 0.333 0.843

Computed properties:
DOS at the Fermi energy   6.232 states/eV per cell
Size of the total moment   0.00 μB per formula unit
Energy of formation   -0.06 eV per atom
Offset from the most stable computed form   194.5 meV/atom